An optimized crystal structure of Cu7Pd2Pt2. Source: the Alexandria database, functional PBE-GGA.

a = 6.7606 Å, b = 9.4665 Å, c = 5.2260 Å
α = 90.00°, β = 105.60°, γ = 90.00°
Closest atoms and distances in Å follow each position.
Space group C2/m (No. 12)
Asymmetric unit:
Cu 0.0000 0.0000 0.0000  6 Cu 2.47-2.56, 2 Pt 2.56
Cu 0.1664 0.5000 0.6582  4 Cu 2.41-2.50, 2 Pt 2.58-2.65
Cu 0.1757 0.2331 0.1777  4 Cu 2.36-2.59, 1 Pd 2.47, 1 Pt 2.53
Pd 0.0000 0.1409 0.5000  4 Cu 2.47-2.66, 1 Pd 2.67, 2 Pt 2.74
Pt 0.1769 0.5000 0.1682  6 Cu 2.53-2.71, 1 Pt 2.56, 2 Pd 2.74

energy above the lowest structure with this stoichiometry: 128 meV/atom
final energy: -98.98 eV/cell
mass density: 10803 kg/m3
DOS(E_F): 0.43 states/eV per atom
formation energy: 1.65 eV/f.u.